A plane-wave DFT calculation with PBE-GGA was carried out for a relaxed structure of KCrTe2.

Calculated values
E_form (uncorrected) (eV/atom): 0.441
Total magnetization (μB/atom): 0.000
Fermi-level density of states (states/eV/atom): 3.21

Unit cell a=5.1396 b=5.1396 c=5.1396 alpha=60.00 beta=60.00 gamma=60.00
Positions (direct):
K: 0.0000 0.0000 0.0000
Cr: 0.5000 0.5000 0.5000
Te: 0.2500 0.2500 0.2500
Te: 0.7500 0.7500 0.7500

***

A plane-wave DFT calculation with PBE-GGA was carried out for a relaxed structure of MnFePb2.

Calculated values
Polymorph energy (0 for the lowest one) (meV/atom): 85
Total magnetization (μB/atom): 1.404
Fermi-level density of states (states/eV/atom): 0.84
Energy relative to the elements (meV/atom): 438.6

Unit cell a=3.7480 b=4.1264 c=5.5896 alpha=90.00 beta=109.53 gamma=90.00
Positions (direct):
Mn: 0.0000 0.0000 0.0000
Fe: 0.8501 0.5000 0.7090
Pb: 0.2800 0.0000 0.5678
Pb: 0.5696 0.5000 0.1408

***

A plane-wave DFT calculation with PBE-GGA was carried out for a relaxed structure of PaInIr.

Calculated values
Total magnetization (μB/atom): 0.000
Fermi-level density of states (states/eV/atom): 1.02
Energy relative to the elements (meV/atom): -393.8

Unit cell a=8.0437 b=8.0437 c=8.0437 alpha=34.60 beta=34.60 gamma=34.60
Positions (direct):
Pa: 0.1156 0.1156 0.1156
Pa: 0.8844 0.8844 0.8844
In: 0.3663 0.3663 0.3663
In: 0.6337 0.6337 0.6337
Ir: 0.2373 0.2373 0.2373
Ir: 0.7627 0.7627 0.7627